DFT (GGA-PBE) results for a relaxed structure of AcDy3B.

Unit cell a=5.2414 b=5.2414 c=5.2414 alpha=90.00 beta=90.00 gamma=90.00
Atoms (fractional coordinates):
B 0.0000 0.0000 0.0000
Dy 0.0000 0.5000 0.0000
Dy 0.0000 0.0000 0.5000
Ac 0.5000 0.5000 0.5000
Dy 0.5000 0.0000 0.0000

Calculated values
- DOS(E_F): 5.81 states/eV per cell
- Energy of formation: 0.051 eV/atom

---

DFT (GGA-PBE) results for a relaxed structure of AcDyB.

Unit cell a=3.3419 b=7.0728 c=7.2314 alpha=87.52 beta=90.00 gamma=103.67
Atoms (fractional coordinates):
Dy 0.8929 0.7858 0.1536
Ac 0.1506 0.3012 0.3294
B 0.7285 0.4570 0.0007
Ac 0.8494 0.6988 0.6706
B 0.2715 0.5430 0.9993
Dy 0.1071 0.2142 0.8464

Calculated values
- DOS(E_F): 7.26 states/eV per cell
- Energy of formation: 0.041 eV/atom

---

DFT (GGA-PBE) results for a relaxed structure of AcDyBN3.

Unit cell a=5.6883 b=5.6883 c=6.0986 alpha=90.00 beta=90.00 gamma=120.00
Atoms (fractional coordinates):
N 0.8163 0.1837 0.7500
Dy 0.0000 0.0000 0.5000
Ac 0.6667 0.3333 0.2500
N 0.3674 0.1837 0.7500
B 0.3333 0.6667 0.2500
N 0.1837 0.8163 0.2500
Dy 0.0000 0.0000 0.0000
N 0.1837 0.3674 0.2500
N 0.8163 0.6326 0.7500
N 0.6326 0.8163 0.2500
Ac 0.3333 0.6667 0.7500
B 0.6667 0.3333 0.7500

Calculated values
- ΔE_f (raw): -1.31 eV per atom

---

DFT (GGA-PBE) results for a relaxed structure of AcDy3B4O12.

Unit cell a=6.5941 b=6.5941 c=6.5941 alpha=102.20 beta=102.20 gamma=102.20
Atoms (fractional coordinates):
Ac 0.0000 0.0000 0.0000
B 0.5000 0.9582 0.0418
O 0.8147 0.0279 0.6258
O 0.9721 0.1853 0.3742
O 0.9063 0.5000 0.0937
Dy 0.4603 0.0000 0.5397
Dy 0.0000 0.5397 0.4603
B 0.5000 0.5000 0.5000
O 0.6353 0.5000 0.3647
O 0.5000 0.0937 0.9063
B 0.0418 0.5000 0.9582
O 0.0937 0.9063 0.5000
Dy 0.5397 0.4603 0.0000
B 0.9582 0.0418 0.5000
O 0.6258 0.8147 0.0279
O 0.0279 0.6258 0.8147
O 0.3647 0.6353 0.5000
O 0.5000 0.3647 0.6353
O 0.1853 0.3742 0.9721
O 0.3742 0.9721 0.1853

Calculated values
- ΔE_f (raw): -3.10 eV per atom
- DOS(E_F): 0.00 states/eV per cell

---

DFT (GGA-PBE) results for a relaxed structure of Ac3ErB2N6.

Unit cell a=5.7316 b=5.7316 c=6.6412 alpha=90.00 beta=90.00 gamma=120.00
Atoms (fractional coordinates):
N 0.1851 0.8149 0.2831
N 0.8149 0.6297 0.7169
Ac 0.0000 0.0000 0.0000
N 0.8149 0.1851 0.7169
N 0.3703 0.1851 0.7169
Ac 0.3333 0.6667 0.6740
B 0.3333 0.6667 0.2622
B 0.6667 0.3333 0.7378
Er 0.0000 0.0000 0.5000
N 0.1851 0.3703 0.2831
N 0.6297 0.8149 0.2831
Ac 0.6667 0.3333 0.3260

Calculated values
- ΔE_f (raw): -1.22 eV per atom
- DOS(E_F): 0.23 states/eV per cell

---

DFT (GGA-PBE) results for a relaxed structure of AcEr3B4O12.

Unit cell a=6.5542 b=6.5542 c=6.5542 alpha=102.35 beta=102.35 gamma=102.35
Atoms (fractional coordinates):
O 0.9717 0.1892 0.3752
O 0.6361 0.5000 0.3639
O 0.9076 0.5000 0.0924
O 0.1892 0.3752 0.9717
O 0.0924 0.9076 0.5000
O 0.8108 0.0283 0.6248
O 0.6248 0.8108 0.0283
Ac 0.0000 0.0000 0.0000
O 0.0283 0.6248 0.8108
B 0.5000 0.9562 0.0438
O 0.3752 0.9717 0.1892
O 0.3639 0.6361 0.5000
B 0.5000 0.5000 0.5000
O 0.5000 0.0924 0.9076
Er 0.4583 0.0000 0.5417
Er 0.5417 0.4583 0.0000
B 0.0438 0.5000 0.9562
B 0.9562 0.0438 0.5000
O 0.5000 0.3639 0.6361
Er 0.0000 0.5417 0.4583

Calculated values
- ΔE_f (raw): -3.12 eV per atom
- DOS(E_F): 0.00 states/eV per cell

---

DFT (GGA-PBE) results for a relaxed structure of Ac2ErB3Pt12.

Unit cell a=7.6370 b=7.6370 c=7.6370 alpha=63.72 beta=63.72 gamma=63.72
Atoms (fractional coordinates):
Pt 0.0868 0.6834 0.6834
B 0.0000 0.0000 0.5000
Pt 0.4048 0.8706 0.8706
Pt 0.9132 0.3166 0.3166
Er 0.0000 0.0000 0.0000
Pt 0.3166 0.3166 0.9132
Pt 0.3166 0.9132 0.3166
Ac 0.6011 0.6011 0.6011
Pt 0.6834 0.6834 0.0868
Ac 0.3989 0.3989 0.3989
B 0.0000 0.5000 0.0000
Pt 0.6834 0.0868 0.6834
B 0.5000 0.0000 0.0000
Pt 0.1294 0.1294 0.5952
Pt 0.8706 0.4048 0.8706
Pt 0.5952 0.1294 0.1294
Pt 0.8706 0.8706 0.4048
Pt 0.1294 0.5952 0.1294

Calculated values
- DOS(E_F): 8.23 states/eV per cell
- Energy of formation: -0.495 eV/atom

---

DFT (GGA-PBE) results for a relaxed structure of AcB3F12.

Unit cell a=6.0723 b=9.4543 c=9.4543 alpha=120.00 beta=90.00 gamma=90.00
Site moments in Bohr magnetons follow the coordinates.
Atoms (fractional coordinates):
B 0.7500 0.6169 0.7105  0.00
F 0.7500 0.9726 0.4346  0.01
F 0.4405 0.7374 0.1953  0.01
F 0.0595 0.4579 0.2626  0.01
F 0.4405 0.8047 0.5421  0.01
F 0.7500 0.7806 0.8059  0.07
B 0.7500 0.2895 0.9064  0.00
F 0.7500 0.4620 0.0274  0.01
F 0.9405 0.5421 0.7374  0.01
F 0.2500 0.8059 0.0253  0.07
F 0.5595 0.1953 0.4579  0.01
B 0.2500 0.9064 0.6169  0.00
F 0.7500 0.1941 0.9747  0.07
F 0.2500 0.4346 0.4620  0.01
F 0.4405 0.4579 0.2626  0.01
F 0.0595 0.7374 0.1953  0.01
F 0.2500 0.2194 0.1941  0.07
Ac 0.2500 0.3333 0.6667  0.00
F 0.0595 0.8047 0.5421  0.01
F 0.7500 0.5654 0.5380  0.01
F 0.5595 0.5421 0.7374  0.01
Ac 0.7500 0.6667 0.3333  0.00
B 0.7500 0.0936 0.3831  0.00
F 0.5595 0.2626 0.8047  0.01
F 0.2500 0.5380 0.9726  0.01
F 0.2500 0.9747 0.7806  0.07
B 0.2500 0.3831 0.2895  0.00
B 0.2500 0.7105 0.0936  0.00
F 0.9405 0.2626 0.8047  0.01
F 0.9405 0.1953 0.4579  0.01
F 0.2500 0.0274 0.5654  0.01
F 0.7500 0.0253 0.2194  0.07

Calculated values
- ΔE_f (raw): -3.21 eV per atom
- DOS(E_F): 0.00 states/eV per cell

---

DFT (GGA-PBE) results for a relaxed structure of AcBF6.

Unit cell a=4.5544 b=4.5544 c=4.5576 alpha=99.26 beta=99.26 gamma=99.29
Atoms (fractional coordinates):
F 0.4284 0.7584 0.7584
F 0.5716 0.2416 0.2416
Ac 0.0000 0.0000 0.0000
F 0.7584 0.4284 0.7584
B 0.5000 0.5000 0.5000
F 0.7584 0.7584 0.4288
F 0.2416 0.2416 0.5712
F 0.2416 0.5716 0.2416

Calculated values
- ΔE_f (raw): -3.18 eV per atom
- DOS(E_F): 0.00 states/eV per cell

---

DFT (GGA-PBE) results for a relaxed structure of AcB2F8.

Unit cell a=6.0065 b=6.8223 c=6.8223 alpha=41.48 beta=72.96 gamma=72.96
Site moments in Bohr magnetons follow the coordinates.
Atoms (fractional coordinates):
F 0.4248 0.8890 0.8890  0.00
F 0.7755 0.6393 0.1025  0.00
Ac 0.0000 0.0000 0.0000  0.06
B 0.3244 0.1672 0.1672  0.00
F 0.7755 0.1025 0.6393  0.00
F 0.2245 0.8975 0.3607  0.00
F 0.2245 0.3607 0.8975  0.00
F 0.2818 0.2793 0.2793  0.00
F 0.7182 0.7207 0.7207  0.00
F 0.5752 0.1110 0.1110  0.00
B 0.6756 0.8328 0.8328  0.00

Calculated values
- ΔE_f (raw): -3.00 eV per atom
- DOS(E_F): 1.17 states/eV per cell

---

DFT (GGA-PBE) results for a relaxed structure of AcFeB4.

Unit cell a=3.5760 b=6.2673 c=6.2673 alpha=99.15 beta=90.00 gamma=90.00
Site moments in Bohr magnetons follow the coordinates.
Atoms (fractional coordinates):
B 0.5000 0.9522 0.6339  -0.01
B 0.5000 0.3661 0.0478  -0.01
B 0.5000 0.0917 0.9083  -0.02
Ac 0.0000 0.6791 0.3209  -0.04
Fe 0.0000 0.8507 0.8507  1.49
B 0.5000 0.9083 0.0917  -0.02
Fe 0.0000 0.1493 0.1493  1.49
B 0.5000 0.6339 0.9522  -0.01
B 0.5000 0.2990 0.2990  -0.01
Ac 0.0000 0.3209 0.6791  -0.04
B 0.5000 0.7010 0.7010  -0.01
B 0.5000 0.0478 0.3661  -0.01

Calculated values
- DOS(E_F): 4.10 states/eV per cell
- Energy of formation: -0.264 eV/atom

---

DFT (GGA-PBE) results for a relaxed structure of Ac3FeB7.

Unit cell a=3.3915 b=10.4079 c=9.7732 alpha=90.00 beta=90.00 gamma=99.38
Atoms (fractional coordinates):
Fe 0.9700 0.9400 0.2500
Ac 0.8080 0.6159 0.2500
B 0.4894 0.9787 0.0934
B 0.4894 0.9787 0.4066
B 0.5858 0.1717 0.8346
Ac 0.1049 0.2097 0.0575
Ac 0.1920 0.3841 0.7500
B 0.2556 0.5112 0.4924
Fe 0.0300 0.0600 0.7500
B 0.5106 0.0213 0.5934
B 0.7444 0.4888 0.9924
B 0.5858 0.1717 0.6654
Ac 0.8951 0.7903 0.5575
B 0.4142 0.8283 0.3346
Ac 0.8951 0.7903 0.9425
B 0.4142 0.8283 0.1654
B 0.7444 0.4888 0.5076
B 0.5342 0.0684 0.2500
B 0.4658 0.9316 0.7500
Ac 0.1049 0.2097 0.4425
B 0.5106 0.0213 0.9066
B 0.2556 0.5112 0.0076

Calculated values
- DOS(E_F): 8.26 states/eV per cell
- Energy of formation: -0.161 eV/atom

---

DFT (GGA-PBE) results for a relaxed structure of Ac2FeB10.

Unit cell a=4.2936 b=5.7814 c=11.5019 alpha=90.00 beta=90.00 gamma=90.00
Atoms (fractional coordinates):
B 0.0000 0.1525 0.6964
B 0.0000 0.8475 0.3036
B 0.7057 0.2960 0.6125
Ac 0.5000 0.2079 0.3671
B 0.7057 0.2040 0.1125
Ac 0.5000 0.7921 0.6329
B 0.2943 0.7040 0.3875
B 0.0000 0.1290 0.5413
B 0.0000 0.3475 0.1964
Fe 0.0000 0.0000 0.0000
B 0.0000 0.4587 0.6869
B 0.0000 0.6525 0.8036
B 0.2943 0.2960 0.6125
B 0.7057 0.7040 0.3875
Fe 0.0000 0.5000 0.5000
B 0.0000 0.9587 0.8131
Ac 0.5000 0.7079 0.1329
B 0.0000 0.0413 0.1869
B 0.2943 0.2040 0.1125
B 0.0000 0.6290 0.9587
Ac 0.5000 0.2921 0.8671
B 0.0000 0.8710 0.4587
B 0.2943 0.7960 0.8875
B 0.7057 0.7960 0.8875
B 0.0000 0.5413 0.3131
B 0.0000 0.3710 0.0413

Calculated values
- DOS(E_F): 4.16 states/eV per cell
- Energy of formation: -0.485 eV/atom

---

DFT (GGA-PBE) results for a relaxed structure of AcFeBN.

Unit cell a=3.7776 b=3.7776 c=8.0372 alpha=90.00 beta=90.00 gamma=90.00
Site moments in Bohr magnetons follow the coordinates.
Atoms (fractional coordinates):
Fe 0.0000 0.0000 0.5000  1.61
N 0.0000 0.5000 0.1634  -0.03
N 0.5000 0.0000 0.8366  -0.03
Ac 0.5000 0.0000 0.1787  -0.06
Ac 0.0000 0.5000 0.8213  -0.06
B 0.5000 0.0000 0.6533  -0.10
Fe 0.5000 0.5000 0.5000  1.61
B 0.0000 0.5000 0.3467  -0.10

Calculated values
- ΔE_f (raw): -0.67 eV per atom
- DOS(E_F): 3.27 states/eV per cell

---

DFT (GGA-PBE) results for a relaxed structure of Ac3FeB2N6.

Unit cell a=5.5622 b=5.5622 c=6.5087 alpha=90.00 beta=90.00 gamma=120.00
Site moments in Bohr magnetons follow the coordinates.
Atoms (fractional coordinates):
B 0.3333 0.6667 0.2716  0.03
N 0.1805 0.8195 0.2923  0.09
N 0.8195 0.1805 0.7077  0.09
N 0.8195 0.6390 0.7077  0.09
Fe 0.0000 0.0000 0.5000  3.51
N 0.1805 0.3610 0.2923  0.09
Ac 0.3333 0.6667 0.6752  0.01
N 0.3610 0.1805 0.7077  0.09
B 0.6667 0.3333 0.7284  0.03
Ac 0.6667 0.3333 0.3248  0.01
Ac 0.0000 0.0000 0.0000  0.02
N 0.6390 0.8195 0.2923  0.09

Calculated values
- ΔE_f (raw): -0.82 eV per atom
- DOS(E_F): 3.43 states/eV per cell

---

| no. | uncorrected energy (eV per atom) |
| --- | --- |
| 1 | -4.87 |
| 2 | -5.09 |
| 3 | -8.04 |
| 4 | -8.31 |
| 5 | -7.91 |
| 6 | -8.32 |
| 7 | -6.35 |
| 8 | -6.13 |
| 9 | -5.94 |
| 10 | -5.95 |
| 11 | -6.81 |
| 12 | -6.30 |
| 13 | -6.90 |
| 14 | -7.56 |
| 15 | -7.83 |